1.
Density functional theory data (PBE) for an optimized crystal structure of LiPuBO5. Values from VASP.

```
&SYSTEM
  ibrav = 0, nat = 16, ntyp = 4
/
ATOMIC_SPECIES
Li 6.94 Li.upf
Pu 244.00 Pu.upf
B 10.81 B.upf
O 16.00 O.upf
CELL_PARAMETERS angstrom
-1.696 -1.990 -4.723
5.042 0.885 -1.715
0.073 -5.689 5.274
ATOMIC_POSITIONS crystal
Li 0.345 0.655 0.250
Li 0.655 0.345 0.750
Pu 0.000 0.000 0.500
Pu 0.000 0.000 0.000
B 0.657 0.343 0.250
B 0.343 0.657 0.750
O 0.103 0.897 0.250
O 0.897 0.103 0.750
O 0.808 0.278 0.115
O 0.192 0.722 0.885
O 0.722 0.192 0.385
O 0.278 0.808 0.615
O 0.720 0.634 0.362
O 0.280 0.366 0.638
O 0.366 0.280 0.138
O 0.634 0.720 0.862
```

2.
Density functional theory data (PBE) for an optimized crystal structure of Rb2Li5B7O14. Values from VASP.

```
&SYSTEM
  ibrav = 0, nat = 56, ntyp = 4
/
ATOMIC_SPECIES
Rb 85.47 Rb.upf
Li 6.94 Li.upf
B 10.81 B.upf
O 16.00 O.upf
CELL_PARAMETERS angstrom
-4.162 -1.193 -1.053
1.799 -3.334 6.095
-7.528 16.387 11.185
ATOMIC_POSITIONS crystal
Rb 0.674 0.410 0.157
Rb 0.264 0.590 0.843
Rb 0.674 0.410 0.343
Rb 0.264 0.590 0.657
Li 0.314 0.700 0.250
Li 0.614 0.300 0.750
Li 0.970 0.970 0.062
Li 0.000 0.030 0.938
Li 0.970 0.970 0.438
Li 0.000 0.030 0.562
Li 0.397 0.831 0.990
Li 0.566 0.169 0.010
Li 0.397 0.831 0.510
Li 0.566 0.169 0.490
B 0.077 0.218 0.250
B 0.859 0.782 0.750
B 0.910 0.898 0.191
B 0.013 0.102 0.809
B 0.910 0.898 0.309
B 0.013 0.102 0.691
B 0.759 0.601 0.994
B 0.159 0.399 0.006
B 0.759 0.601 0.506
B 0.159 0.399 0.494
B 0.399 0.880 0.127
B 0.519 0.120 0.873
B 0.399 0.880 0.373
B 0.519 0.120 0.627
O 0.181 0.417 0.250
O 0.764 0.583 0.750
O 0.024 0.116 0.193
O 0.908 0.884 0.807
O 0.024 0.116 0.307
O 0.908 0.884 0.693
O 0.862 0.437 0.008
O 0.424 0.563 0.992
O 0.862 0.437 0.492
O 0.424 0.563 0.508
O 0.961 0.809 0.250
O 0.153 0.191 0.750
O 0.562 0.828 0.176
O 0.734 0.172 0.824
O 0.562 0.828 0.324
O 0.734 0.172 0.676
O 0.070 0.835 0.136
O 0.235 0.165 0.864
O 0.070 0.835 0.364
O 0.235 0.165 0.636
O 0.528 0.961 0.072
O 0.566 0.039 0.928
O 0.528 0.961 0.428
O 0.566 0.039 0.572
O 0.944 0.781 0.984
O 0.162 0.219 0.016
O 0.944 0.781 0.516
O 0.162 0.219 0.484
```

3.
Density functional theory data (PBE) for an optimized crystal structure of RbLi2B3Sb2O9. Values from VASP.

```
&SYSTEM
  ibrav = 0, nat = 34, ntyp = 5
/
ATOMIC_SPECIES
Rb 85.47 Rb.upf
Li 6.94 Li.upf
B 10.81 B.upf
Sb 121.76 Sb.upf
O 16.00 O.upf
CELL_PARAMETERS angstrom
5.631 0.000 0.000
0.000 6.463 0.008
0.000 0.580 13.065
ATOMIC_POSITIONS crystal
Rb 0.894 0.000 0.750
Rb 0.106 0.000 0.250
Li 0.889 0.480 0.858
Li 0.889 0.520 0.642
Li 0.111 0.480 0.358
Li 0.111 0.520 0.142
B 0.159 0.833 0.977
B 0.841 0.833 0.477
B 0.402 0.500 0.750
B 0.598 0.500 0.250
B 0.159 0.167 0.523
B 0.841 0.167 0.023
Sb 0.371 0.731 0.538
Sb 0.629 0.731 0.038
Sb 0.371 0.269 0.962
Sb 0.629 0.269 0.462
O 0.275 0.987 0.915
O 0.725 0.987 0.415
O 0.965 0.734 0.940
O 0.035 0.734 0.440
O 0.748 0.777 0.572
O 0.252 0.777 0.072
O 0.253 0.604 0.675
O 0.747 0.604 0.175
O 0.639 0.500 0.750
O 0.361 0.500 0.250
O 0.253 0.396 0.825
O 0.747 0.396 0.325
O 0.748 0.223 0.928
O 0.252 0.223 0.428
O 0.965 0.266 0.560
O 0.035 0.266 0.060
O 0.275 0.013 0.585
O 0.725 0.013 0.085
```

Number 1: electronic total energy -8.30 eV per atom, total magnetic moment 2.00 μB/f.u.. Number 2: electronic total energy -6.92 eV per atom, total magnetic moment 0.12 μB/f.u.. Number 3: electronic total energy -6.55 eV per atom, total magnetic moment 0.00 μB/f.u..